[1]
# GGA-PBE CaTaPb4, relaxed
data_CaTaPb4
_symmetry_space_group_name_H-M 'P 1'
_symmetry_Int_Tables_number 1
_cell_length_a 6.352
_cell_length_b 6.352
_cell_length_c 6.352
_cell_angle_alpha 60.00
_cell_angle_beta 60.00
_cell_angle_gamma 60.00
loop_
_symmetry_equiv_pos_as_xyz
'x,y,z'
loop_
_atom_site_label
_atom_site_type_symbol
_atom_site_fract_x
_atom_site_fract_y
_atom_site_fract_z
Ca1 Ca 0.000 0.000 0.000
Pb1 Pb 0.376 0.376 0.873
Pb2 Pb 0.873 0.376 0.376
Pb3 Pb 0.376 0.376 0.376
Pb4 Pb 0.376 0.873 0.376
Ta1 Ta 0.750 0.750 0.750
# **Total magnetization**: 2.38 μB per formula unit
# **Energy relative to the elements**: 0.594 eV/atom
# **DFT total energy**: -25.1 eV for the cell shown
# **SG**: F-43m, No. 216

---

[2]
# GGA-PBE Dy3Au2, relaxed
data_Dy3Au2
_symmetry_space_group_name_H-M 'P 1'
_symmetry_Int_Tables_number 1
_cell_length_a 3.762
_cell_length_b 12.291
_cell_length_c 11.437
_cell_angle_alpha 90.00
_cell_angle_beta 90.00
_cell_angle_gamma 90.00
loop_
_symmetry_equiv_pos_as_xyz
'x,y,z'
loop_
_atom_site_label
_atom_site_type_symbol
_atom_site_fract_x
_atom_site_fract_y
_atom_site_fract_z
Dy1 Dy 0.750 0.782 0.782
Dy2 Dy 0.250 0.956 0.368
Dy3 Dy 0.250 0.633 0.559
Dy4 Dy 0.250 0.282 0.718
Dy5 Dy 0.250 0.867 0.059
Dy6 Dy 0.750 0.367 0.441
Dy7 Dy 0.250 0.544 0.868
Dy8 Dy 0.750 0.456 0.132
Dy9 Dy 0.750 0.718 0.282
Dy10 Dy 0.250 0.218 0.218
Dy11 Dy 0.750 0.044 0.632
Dy12 Dy 0.750 0.133 0.941
Au1 Au 0.250 0.975 0.821
Au2 Au 0.750 0.025 0.179
Au3 Au 0.250 0.525 0.321
Au4 Au 0.250 0.322 0.982
Au5 Au 0.750 0.822 0.518
Au6 Au 0.750 0.475 0.679
Au7 Au 0.750 0.678 0.018
Au8 Au 0.250 0.178 0.482
# **Total magnetization**: 0.00 μB per formula unit
# **Energy relative to the elements**: -0.669 eV/atom
# **DFT total energy**: -94.8 eV for the cell shown
# **Distance to the lowest polymorph of the same formula**: 34 meV/atom
# **SG**: Pnma, No. 62

---

[3]
# GGA-PBE KAl2Re, relaxed
data_KAl2Re
_symmetry_space_group_name_H-M 'P 1'
_symmetry_Int_Tables_number 1
_cell_length_a 5.128
_cell_length_b 5.128
_cell_length_c 2.759
_cell_angle_alpha 90.00
_cell_angle_beta 90.00
_cell_angle_gamma 90.00
loop_
_symmetry_equiv_pos_as_xyz
'x,y,z'
loop_
_atom_site_label
_atom_site_type_symbol
_atom_site_fract_x
_atom_site_fract_y
_atom_site_fract_z
Al1 Al 0.500 0.500 0.000
Al2 Al 0.000 0.000 0.000
K1 K 0.500 0.000 0.500
Re1 Re 0.000 0.500 0.500
# **Total magnetization**: 0.00 μB per formula unit
# **Energy relative to the elements**: 0.798 eV/atom
# **DFT total energy**: -17.8 eV for the cell shown
# **Distance to the lowest polymorph of the same formula**: 561 meV/atom
# **SG**: P4/mmm, No. 123

---

[4]
# GGA-PBE NaZn2, relaxed
data_NaZn2
_symmetry_space_group_name_H-M 'P 1'
_symmetry_Int_Tables_number 1
_cell_length_a 5.453
_cell_length_b 5.453
_cell_length_c 5.453
_cell_angle_alpha 60.00
_cell_angle_beta 60.00
_cell_angle_gamma 60.00
loop_
_symmetry_equiv_pos_as_xyz
'x,y,z'
loop_
_atom_site_label
_atom_site_type_symbol
_atom_site_fract_x
_atom_site_fract_y
_atom_site_fract_z
Zn1 Zn 0.125 0.625 0.625
Zn2 Zn 0.625 0.625 0.625
Zn3 Zn 0.625 0.125 0.625
Zn4 Zn 0.625 0.625 0.125
Na1 Na 0.000 0.000 0.000
Na2 Na 0.250 0.250 0.250
# **Total magnetization**: 0.00 μB per formula unit
# **Energy relative to the elements**: -0.049 eV/atom
# **DFT total energy**: -8.0 eV for the cell shown
# **SG**: Fd-3m, No. 227

---

[5]
# GGA-PBE BiBr2O, relaxed
data_BiBr2O
_symmetry_space_group_name_H-M 'P 1'
_symmetry_Int_Tables_number 1
_cell_length_a 8.459
_cell_length_b 8.459
_cell_length_c 8.459
_cell_angle_alpha 27.08
_cell_angle_beta 27.08
_cell_angle_gamma 27.08
loop_
_symmetry_equiv_pos_as_xyz
'x,y,z'
loop_
_atom_site_label
_atom_site_type_symbol
_atom_site_fract_x
_atom_site_fract_y
_atom_site_fract_z
Bi1 Bi 0.500 0.500 0.500
Br1 Br 0.082 0.082 0.082
Br2 Br 0.918 0.918 0.918
O1 O 0.000 0.000 0.000
# **Total magnetization**: 0.00 μB per formula unit
# **DFT total energy**: -11.4 eV for the cell shown
# **Distance to the lowest polymorph of the same formula**: 8 meV/atom
# **SG**: R-3m, No. 166
# **Raw formation energy**: 0.1852 eV/atom

---

[6]
# GGA-PBE SbRu2, relaxed
data_SbRu2
_symmetry_space_group_name_H-M 'P 1'
_symmetry_Int_Tables_number 1
_cell_length_a 5.389
_cell_length_b 5.389
_cell_length_c 5.389
_cell_angle_alpha 122.11
_cell_angle_beta 122.11
_cell_angle_gamma 86.38
loop_
_symmetry_equiv_pos_as_xyz
'x,y,z'
loop_
_atom_site_label
_atom_site_type_symbol
_atom_site_fract_x
_atom_site_fract_y
_atom_site_fract_z
Ru1 Ru 0.825 0.325 0.149
Ru2 Ru 0.325 0.175 0.500
Ru3 Ru 0.175 0.675 0.851
Ru4 Ru 0.675 0.825 0.500
Sb1 Sb 0.250 0.250 0.000
Sb2 Sb 0.750 0.750 0.000
# **Total magnetization**: 0.01 μB per formula unit
# **DFT total energy**: -43.5 eV for the cell shown
# **SG**: I4/mcm, No. 140
# **Raw formation energy**: 0.3090 eV/atom

---

[7]
# GGA-PBE TmGaTc, relaxed
data_TmGaTc
_symmetry_space_group_name_H-M 'P 1'
_symmetry_Int_Tables_number 1
_cell_length_a 5.325
_cell_length_b 5.352
_cell_length_c 5.352
_cell_angle_alpha 61.87
_cell_angle_beta 60.17
_cell_angle_gamma 60.17
loop_
_symmetry_equiv_pos_as_xyz
'x,y,z'
loop_
_atom_site_label
_atom_site_type_symbol
_atom_site_fract_x
_atom_site_fract_y
_atom_site_fract_z
Ga1 Ga 0.500 0.000 0.500
Ga2 Ga 0.500 0.500 0.000
Tm1 Tm 0.115 0.635 0.635
Tm2 Tm 0.885 0.365 0.365
Tc1 Tc 0.000 0.000 0.000
Tc2 Tc 0.500 0.000 0.000
# **Total magnetization**: 0.00 μB per formula unit
# **Energy relative to the elements**: -0.476 eV/atom
# **DFT total energy**: -38.6 eV for the cell shown
# **Distance to the lowest polymorph of the same formula**: 0 meV/atom
# **SG**: Imma, No. 74

---

[8]
# GGA-PBE ZnBi2Au2, relaxed
data_ZnBi2Au2
_symmetry_space_group_name_H-M 'P 1'
_symmetry_Int_Tables_number 1
_cell_length_a 7.999
_cell_length_b 7.999
_cell_length_c 3.952
_cell_angle_alpha 90.00
_cell_angle_beta 90.00
_cell_angle_gamma 90.00
loop_
_symmetry_equiv_pos_as_xyz
'x,y,z'
loop_
_atom_site_label
_atom_site_type_symbol
_atom_site_fract_x
_atom_site_fract_y
_atom_site_fract_z
Bi1 Bi 0.318 0.818 0.000
Bi2 Bi 0.818 0.682 0.000
Bi3 Bi 0.682 0.182 0.000
Bi4 Bi 0.182 0.318 0.000
Au1 Au 0.875 0.375 0.500
Au2 Au 0.125 0.625 0.500
Au3 Au 0.625 0.875 0.500
Au4 Au 0.375 0.125 0.500
Zn1 Zn 0.500 0.500 0.000
Zn2 Zn 0.000 0.000 0.000
# **Total magnetization**: 0.00 μB per formula unit
# **Energy relative to the elements**: 0.121 eV/atom
# **DFT total energy**: -30.0 eV for the cell shown
# **Distance to the lowest polymorph of the same formula**: 104 meV/atom
# **SG**: P4/mbm, No. 127